Entry from the Alexandria database: an optimized crystal structure of Ce5TlGe3 (PBE). Values from VASP.

Quantum ESPRESSO input file:
```
&SYSTEM
  ibrav = 0, nat = 18, ntyp = 3
/
ATOMIC_SPECIES
Ce 140.12 Ce.upf
Tl 204.38 Tl.upf
Ge 72.64 Ge.upf
CELL_PARAMETERS angstrom
-6.1937 -0.5854 -1.1340
1.1505 -8.8863 -1.6961
-1.8193 2.8259 8.4776
ATOMIC_POSITIONS angstrom
Ce 0.1606 -4.9822 1.6950
Ce -3.9263 -1.3709 4.5196
Ce -0.8294 -1.0782 5.0866
Ce -2.9363 -5.2749 1.1280
Ce -5.1093 -4.6438 3.8545
Ce -5.2024 0.4262 1.7453
Ce -4.2930 -3.1600 -1.3699
Ce -1.7532 -2.0020 1.7930
Ce -1.6602 -7.0720 3.9022
Ce -0.7502 -6.3117 -1.4602
Tl 0.0000 0.0000 0.0000
Tl -3.0969 -0.2927 -0.5670
Ge -4.8869 -2.6275 1.5986
Ge -4.6571 -7.5198 2.8695
Ge -3.9103 -6.1164 -1.9341
Ge -1.9757 -4.0183 4.0489
Ge -2.2054 0.8740 2.7780
Ge -1.1330 -3.3554 -0.8960
```

Summary:
* formation energy: -0.55 eV/atom
* symmetry: P6_3/mcm, No. 193